NaPmCuPb: relaxed, PBE-GGA.

```
4
Lattice="5.214 0.000 0.000 2.607 4.516 0.000 2.607 1.505 4.257" Properties=species:S:1:pos:R:3 pbc="T T T"
Na 2.607 1.505 1.064
Pm 7.821 4.516 3.193
Cu 5.214 3.010 2.129
Pb 0.000 0.000 0.000
```

Values from the calculation:
Calculated formation energy (eV/atom): -0.120
SG: F-43m, No. 216